Here is an optimized crystal structure of HSe from Alexandria. Energies are from PBE.

distance to the lowest polymorph of the same formula = 233 meV per atom
symmetry = Pmmn
uncorrected energy = -3.16 eV per atom

```
HSe
1.0
3.633 0.000 0.000
0.000 8.527 0.000
0.000 0.000 6.673
H Se
6 6
Direct
0.250 0.116 0.213
0.250 0.384 0.213
0.250 0.750 0.933
0.750 0.250 0.067
0.750 0.616 0.787
0.750 0.884 0.787
0.250 0.250 0.056
0.250 0.607 0.423
0.250 0.893 0.423
0.750 0.107 0.577
0.750 0.393 0.577
0.750 0.750 0.944
```

Here is an optimized crystal structure of HSe from Alexandria. Energies are from PBE.

distance to the lowest polymorph of the same formula = 128 meV per atom
symmetry = P6_3/m
uncorrected energy = -3.27 eV per atom

```
HSe
1.0
10.459 0.000 0.000
-5.229 9.057 0.000
0.000 0.000 2.681
H Se
6 6
Direct
0.137 0.350 0.250
0.212 0.863 0.250
0.350 0.212 0.750
0.650 0.788 0.250
0.788 0.137 0.750
0.863 0.650 0.750
0.122 0.698 0.250
0.302 0.424 0.250
0.424 0.122 0.750
0.576 0.878 0.250
0.698 0.576 0.750
0.878 0.302 0.750
```

> Which formula does entry 1 have?

HSe

> What is the formula in the second record?

HSe

> Which of these has the lowest distance to the lowest polymorph of the same formula?

number 2

> Number 1 is which compound?

HSe